(1)
K3SnO3 | PBE | relaxed

The structure in extended XYZ format:
```
7
Lattice="3.979 0.000 -1.338 -2.386 5.757 -2.704 0.792 0.000 6.747" Properties=species:S:1:pos:R:3 pbc="T T T"
K 0.461 0.000 3.599
K -1.240 3.081 -1.460
K 1.146 2.675 1.244
O 1.904 0.000 1.346
O -0.589 4.126 2.711
O 1.004 1.631 -1.331
Sn 1.986 0.000 -0.668
```

The value obtained for the total energy is -4.498 eV per atom. As for the formation energy without anion corrections: -1.33 eV/atom.


(2)
V2Ni4P | PBE | relaxed

The structure in extended XYZ format:
```
7
Lattice="-2.695 2.839 1.113 -2.336 -0.968 -3.189 -5.479 -3.221 2.395" Properties=species:S:1:pos:R:3 pbc="T T T"
P 0.000 0.000 0.000
Ni -1.168 -0.484 -1.594
Ni -6.078 0.403 -0.863
Ni -1.347 1.420 0.556
Ni -4.432 -1.753 1.182
V -3.342 -0.223 -0.081
V -7.168 -1.127 0.400
```

For the formation energy from the elements, the calculation gives 0.468 eV per atom. The value obtained for the total energy is -6.213 eV per atom.


(3)
SiAsCBr2 | PBE | relaxed

The structure in extended XYZ format:
```
5
Lattice="-2.135 -0.148 -4.163 -1.828 -4.170 1.086 -3.536 2.004 1.742" Properties=species:S:1:pos:R:3 pbc="T T T"
Br -1.068 -0.074 -2.082
Br -0.914 -2.085 0.543
C 0.000 0.000 0.000
As -1.768 1.002 0.871
Si -3.750 -1.158 -0.667
```

The value obtained for the total energy is -3.200 eV per atom. As for the formation energy without anion corrections: 1.33 eV/atom. The calculation puts the excess energy over the best structure of this formula in the dataset at 0.0 meV/atom.


(4)
CeMnInCl6 | PBE | relaxed

The structure in extended XYZ format:
```
18
Lattice="-2.083 2.786 6.028 -4.335 -4.043 -3.647 4.671 -11.088 6.738" Properties=species:S:1:pos:R:3 pbc="T T T"
Cl -1.024 -7.826 5.943
Cl -3.846 -6.193 2.585
Cl -0.706 -9.299 9.408
Cl -4.312 -4.522 -0.451
Cl -0.583 -5.841 8.905
Cl 2.565 -7.822 9.570
Cl -3.414 -2.447 2.341
Cl -1.164 -6.504 0.214
Cl 1.667 -9.897 6.778
Cl -0.723 -4.518 3.176
Cl 2.099 -6.151 6.534
Cl -1.040 -3.046 -0.290
Ce -1.666 -2.262 4.487
Ce -0.081 -10.082 4.631
Mn -2.417 -4.538 1.262
Mn 0.670 -7.806 7.856
In 0.000 0.000 0.000
In 2.336 -5.544 3.369
```

The value obtained for the total energy is -4.738 eV per atom. As for the formation energy without anion corrections: -1.52 eV/atom.


(5)
ErTh2Ag6 | PBE | relaxed

The structure in extended XYZ format:
```
9
Lattice="-2.550 -0.238 2.197 -4.439 -4.383 -5.626 5.034 -3.993 5.411" Properties=species:S:1:pos:R:3 pbc="T T T"
Ag -1.079 -2.882 1.028
Ag -4.250 -3.056 -2.671
Ag 2.098 -2.795 4.725
Ag -2.739 -1.565 -0.757
Ag -0.876 -5.732 0.955
Ag 0.385 -1.436 2.884
Er 5.034 -3.993 5.411
Th -3.832 -4.491 0.251
Th 1.876 -4.123 1.732
```

For the formation energy from the elements, the calculation gives -0.170 eV per atom. The value obtained for the total energy is -4.227 eV per atom.


(6)
La2MgTiTe | PBE | relaxed

The structure in extended XYZ format:
```
5
Lattice="-4.071 2.548 -3.247 0.497 -3.727 -3.548 -4.090 -3.106 2.690" Properties=species:S:1:pos:R:3 pbc="T T T"
Te 0.249 -1.864 -1.774
La -2.045 -1.553 1.345
La -2.035 1.274 -1.624
Ti -3.832 -2.143 -2.053
Mg 0.000 0.000 0.000
```

The value obtained for the total energy is -3.753 eV per atom. As for the formation energy without anion corrections: 0.74 eV/atom.


(7)
Ca3BeFe | PBE | relaxed

The structure in extended XYZ format:
```
5
Lattice="-1.089 -4.332 -3.062 3.794 1.548 -3.541 3.708 -2.857 2.723" Properties=species:S:1:pos:R:3 pbc="T T T"
Fe 3.206 -2.820 -1.939
Ca 1.897 0.774 -1.770
Ca -0.545 -2.166 -1.531
Ca 1.854 -1.428 1.362
Be 0.000 0.000 0.000
```

For the formation energy from the elements, the calculation gives 0.786 eV per atom. The value obtained for the total energy is -2.853 eV per atom. The calculation puts the excess energy over the best structure of this formula in the dataset at 0.0 meV/atom.


(8)
CsPuI5 | PBE | relaxed

The structure in extended XYZ format:
```
14
Lattice="8.433 -0.873 -2.418 -4.170 7.765 -0.177 -1.253 0.194 12.410" Properties=species:S:1:pos:R:3 pbc="T T T"
Pu 0.000 0.000 0.000
Pu 3.590 -0.339 4.996
I -0.173 4.580 4.131
I -0.084 2.976 0.131
I 1.049 0.412 10.569
I 1.898 -0.003 2.435
I 1.961 6.675 -0.754
I 3.183 2.506 5.683
I -2.997 6.630 6.370
I 1.112 7.090 7.379
I 3.095 4.110 9.684
I 6.007 0.456 3.445
Cs -0.927 3.792 8.621
Cs 3.937 3.294 1.194
```

The value obtained for the total energy is -4.326 eV per atom. As for the formation energy without anion corrections: -1.05 eV/atom.


(9)
HgTeMo2 | PBE | relaxed

The structure in extended XYZ format:
```
4
Lattice="5.361 -0.006 0.016 -2.157 4.908 0.016 0.597 0.914 2.911" Properties=species:S:1:pos:R:3 pbc="T T T"
Te 2.979 0.454 1.463
Mo 0.000 0.000 0.000
Mo 1.602 2.451 0.016
Hg -0.780 2.911 1.463
```

The value obtained for the total energy is -5.463 eV per atom. As for the formation energy without anion corrections: 0.81 eV/atom. The calculation puts the excess energy over the best structure of this formula in the dataset at 531.2 meV/atom.


(10)
Ba2CuHgIr | PBE | relaxed

The structure in extended XYZ format:
```
5
Lattice="-3.243 -2.443 4.432 2.166 -5.427 -1.406 3.690 0.676 3.073" Properties=species:S:1:pos:R:3 pbc="T T T"
Hg 1.306 -3.597 3.049
Ba 1.083 -2.714 -0.703
Ba -1.622 -1.221 2.216
Cu 1.845 0.338 1.537
Ir 0.000 0.000 0.000
```

For the formation energy from the elements, the calculation gives -0.020 eV per atom. The value obtained for the total energy is -3.441 eV per atom.


(11)
CoReHIr2 | PBE | relaxed

The structure in extended XYZ format:
```
5
Lattice="-3.023 -1.091 -2.179 2.324 -2.333 -2.057 -0.716 -2.846 2.419" Properties=species:S:1:pos:R:3 pbc="T T T"
Co -0.358 -1.423 1.209
Re -0.707 -3.135 -0.908
Ir 1.162 -1.166 -1.028
Ir -1.511 -0.546 -1.089
H 0.000 0.000 0.000
```

The value obtained for the total energy is -7.965 eV per atom.


(12)
SiPH2 | PBE | relaxed

The structure in extended XYZ format:
```
8
Lattice="5.033 0.000 0.000 0.000 5.033 0.000 2.516 2.516 3.521" Properties=species:S:1:pos:R:3 pbc="T T T"
Si 2.516 2.516 0.000
Si 2.516 5.033 1.761
H 4.573 3.775 0.880
H 3.775 2.057 2.641
H 5.493 1.258 0.880
H 6.291 2.976 2.641
P 5.033 2.516 1.761
P 0.000 0.000 0.000
```

The value obtained for the total energy is -3.617 eV per atom. The calculation puts the excess energy over the best structure of this formula in the dataset at 496.9 meV/atom.